No. 1
A relaxed structure of SrLiLaAl2. Source: the Alexandria database, functional PBE.

Cell: 5.737 5.737 6.267 Å, 90.00 90.00 90.00°
Fractional coordinates of all 5 atoms:
Sr: 0.000 0.000 0.000
Li: 0.500 0.500 0.000
La: 0.000 0.000 0.500
Al: 0.000 0.500 0.500
Al: 0.500 0.000 0.500

## Properties
magnetic moment = 0.00 Bohr magnetons per cell
calculated formation energy = 19.7 kcal/mol of atoms



No. 2
A relaxed structure of SrLiLaAl. Source: the Alexandria database, functional PBE.

Cell: 7.854 7.854 7.854 Å, 90.00 90.00 90.00°
Fractional coordinates of all 16 atoms:
Sr: 0.000 0.000 0.000
Sr: 0.000 0.500 0.500
Sr: 0.500 0.000 0.500
Sr: 0.500 0.500 0.000
Li: 0.250 0.250 0.750
Li: 0.250 0.750 0.250
Li: 0.750 0.250 0.250
Li: 0.750 0.750 0.750
La: 0.000 0.000 0.500
La: 0.000 0.500 0.000
La: 0.500 0.000 0.000
La: 0.500 0.500 0.500
Al: 0.250 0.250 0.250
Al: 0.250 0.750 0.750
Al: 0.750 0.250 0.750
Al: 0.750 0.750 0.250

## Properties
magnetic moment = 0.00 Bohr magnetons per cell
calculated formation energy = -2.2 kcal/mol of atoms



No. 3
A relaxed structure of LiLaTbAl. Source: the Alexandria database, functional PBE.

Cell: 7.489 7.489 7.489 Å, 90.00 90.00 90.00°
Fractional coordinates of all 16 atoms:
Li: 0.000 0.000 0.000
Li: 0.000 0.500 0.500
Li: 0.500 0.000 0.500
Li: 0.500 0.500 0.000
La: 0.250 0.250 0.250
La: 0.250 0.750 0.750
La: 0.750 0.250 0.750
La: 0.750 0.750 0.250
Tb: 0.250 0.250 0.750
Tb: 0.250 0.750 0.250
Tb: 0.750 0.250 0.250
Tb: 0.750 0.750 0.750
Al: 0.000 0.000 0.500
Al: 0.000 0.500 0.000
Al: 0.500 0.000 0.000
Al: 0.500 0.500 0.500

## Properties
magnetic moment = 0.00 Bohr magnetons per cell
calculated formation energy = -4.4 kcal/mol of atoms



No. 4
A relaxed structure of LiLa2AlTc. Source: the Alexandria database, functional PBE.

Cell: 5.416 5.416 5.024 Å, 90.00 90.00 90.00°
Fractional coordinates of all 5 atoms:
Li: 0.000 0.000 0.000
La: 0.000 0.500 0.500
La: 0.500 0.000 0.500
Al: 0.500 0.500 0.000
Tc: 0.500 0.500 0.500

## Properties
magnetic moment = 0.00 Bohr magnetons per cell
calculated formation energy = -0.4 kcal/mol of atoms



No. 5
A relaxed structure of LiLa2AlTe5. Source: the Alexandria database, functional PBE.

Cell: 9.965 9.965 12.923 Å, 90.00 90.00 154.73°
Fractional coordinates of all 18 atoms:
Li: 0.212 0.788 0.500
Li: 0.788 0.212 0.000
La: 0.120 0.880 0.163
La: 0.131 0.869 0.785
La: 0.869 0.131 0.285
La: 0.880 0.120 0.663
Al: 0.426 0.574 0.936
Al: 0.574 0.426 0.436
Te: 0.044 0.956 0.548
Te: 0.291 0.709 0.146
Te: 0.311 0.689 0.830
Te: 0.357 0.643 0.478
Te: 0.498 0.502 0.763
Te: 0.502 0.498 0.263
Te: 0.643 0.357 0.978
Te: 0.689 0.311 0.330
Te: 0.709 0.291 0.646
Te: 0.956 0.044 0.048

## Properties
magnetic moment = 0.00 Bohr magnetons per cell
formation energy from raw total energies = -1186 meV/atom



No. 6
A relaxed structure of LiLaAlTl. Source: the Alexandria database, functional PBE.

Cell: 7.386 7.386 7.386 Å, 90.00 90.00 90.00°
Fractional coordinates of all 16 atoms:
Li: 0.000 0.000 0.000
Li: 0.000 0.500 0.500
Li: 0.500 0.000 0.500
Li: 0.500 0.500 0.000
La: 0.000 0.000 0.500
La: 0.000 0.500 0.000
La: 0.500 0.000 0.000
La: 0.500 0.500 0.500
Al: 0.250 0.250 0.750
Al: 0.250 0.750 0.250
Al: 0.750 0.250 0.250
Al: 0.750 0.750 0.750
Tl: 0.250 0.250 0.250
Tl: 0.250 0.750 0.750
Tl: 0.750 0.250 0.750
Tl: 0.750 0.750 0.250

## Properties
magnetic moment = 0.00 Bohr magnetons per cell
calculated formation energy = -5.8 kcal/mol of atoms



No. 7
A relaxed structure of LiLaAl2Tl. Source: the Alexandria database, functional PBE.

Cell: 5.739 5.739 5.977 Å, 90.00 90.00 90.00°
Fractional coordinates of all 5 atoms:
Li: 0.000 0.000 0.000
La: 0.000 0.000 0.500
Al: 0.000 0.500 0.500
Al: 0.500 0.000 0.500
Tl: 0.500 0.500 0.000

## Properties
magnetic moment = 0.00 Bohr magnetons per cell
calculated formation energy = 22.4 kcal/mol of atoms



No. 8
A relaxed structure of LiLaTmAl. Source: the Alexandria database, functional PBE.

Cell: 7.433 7.433 7.433 Å, 90.00 90.00 90.00°
Fractional coordinates of all 16 atoms:
Li: 0.000 0.000 0.000
Li: 0.000 0.500 0.500
Li: 0.500 0.000 0.500
Li: 0.500 0.500 0.000
La: 0.250 0.250 0.250
La: 0.250 0.750 0.750
La: 0.750 0.250 0.750
La: 0.750 0.750 0.250
Tm: 0.250 0.250 0.750
Tm: 0.250 0.750 0.250
Tm: 0.750 0.250 0.250
Tm: 0.750 0.750 0.750
Al: 0.000 0.000 0.500
Al: 0.000 0.500 0.000
Al: 0.500 0.000 0.000
Al: 0.500 0.500 0.500

## Properties
magnetic moment = 0.00 Bohr magnetons per cell
calculated formation energy = -4.4 kcal/mol of atoms



No. 9
A relaxed structure of LiLaYAl. Source: the Alexandria database, functional PBE.

Cell: 7.488 7.488 7.488 Å, 90.00 90.00 90.00°
Fractional coordinates of all 16 atoms:
Li: 0.000 0.000 0.000
Li: 0.000 0.500 0.500
Li: 0.500 0.000 0.500
Li: 0.500 0.500 0.000
La: 0.250 0.250 0.250
La: 0.250 0.750 0.750
La: 0.750 0.250 0.750
La: 0.750 0.750 0.250
Y: 0.250 0.250 0.750
Y: 0.250 0.750 0.250
Y: 0.750 0.250 0.250
Y: 0.750 0.750 0.750
Al: 0.000 0.000 0.500
Al: 0.000 0.500 0.000
Al: 0.500 0.000 0.000
Al: 0.500 0.500 0.500

## Properties
magnetic moment = 0.00 Bohr magnetons per cell
calculated formation energy = -4.8 kcal/mol of atoms



No. 10
A relaxed structure of Li3La2AlZn12. Source: the Alexandria database, functional PBE.

Cell: 11.077 11.077 11.077 Å, 32.49 32.49 32.49°
Fractional coordinates of all 18 atoms:
Li: 0.000 0.500 0.500
Li: 0.500 0.000 0.500
Li: 0.500 0.500 0.000
La: 0.144 0.144 0.144
La: 0.856 0.856 0.856
Al: 0.500 0.500 0.500
Zn: 0.085 0.085 0.676
Zn: 0.085 0.676 0.085
Zn: 0.107 0.600 0.600
Zn: 0.324 0.915 0.915
Zn: 0.400 0.400 0.893
Zn: 0.400 0.893 0.400
Zn: 0.600 0.107 0.600
Zn: 0.600 0.600 0.107
Zn: 0.676 0.085 0.085
Zn: 0.893 0.400 0.400
Zn: 0.915 0.324 0.915
Zn: 0.915 0.915 0.324

## Properties
magnetic moment = 0.00 Bohr magnetons per cell
calculated formation energy = -1.4 kcal/mol of atoms



No. 11
A relaxed structure of LiLa4AlZn2. Source: the Alexandria database, functional PBE.

Cell: 9.293 9.293 9.293 Å, 33.54 33.54 33.54°
Fractional coordinates of all 8 atoms:
Li: 0.000 0.000 0.000
La: 0.126 0.126 0.126
La: 0.377 0.377 0.377
La: 0.623 0.623 0.623
La: 0.874 0.874 0.874
Al: 0.500 0.500 0.500
Zn: 0.253 0.253 0.253
Zn: 0.747 0.747 0.747

## Properties
magnetic moment = 0.00 Bohr magnetons per cell
calculated formation energy = -5.3 kcal/mol of atoms



No. 12
A relaxed structure of Li2LaAlZn4. Source: the Alexandria database, functional PBE.

Cell: 9.547 9.547 9.547 Å, 26.29 26.29 26.29°
Fractional coordinates of all 8 atoms:
Li: 0.229 0.229 0.229
Li: 0.771 0.771 0.771
La: 0.000 0.000 0.000
Al: 0.500 0.500 0.500
Zn: 0.123 0.123 0.123
Zn: 0.404 0.404 0.404
Zn: 0.596 0.596 0.596
Zn: 0.877 0.877 0.877

## Properties
magnetic moment = 0.00 Bohr magnetons per cell
calculated formation energy = -4.6 kcal/mol of atoms